1.
Compound: Cs2AlNiBi
Source: Alexandria via LeMat-Bulk
Functional: PBE
Structure: optimized geometry

Calculated values
* calculated volume: 39.5 Å³/atom
* space-group type: P4/mmm (123)
* formation enthalpy at 0 K: 375 meV per atom

Cell: 6.545 4.616 6.545 Å, 90.00 90.00 90.00°
Site moments in Bohr magnetons follow the coordinates.
Fractional coordinates of all 5 atoms:
Cs1 0.000 0.000 0.500  0.01
Cs2 0.500 0.000 0.000  0.00
Ni1 0.000 0.000 0.000  0.07
Bi1 0.500 0.500 0.500  0.30
Al1 0.000 0.500 0.000  -0.01

=====

2.
Compound: PuAl2CdAu4
Source: Alexandria via LeMat-Bulk
Functional: PBE
Structure: optimized geometry

Calculated values
* calculated volume: 20.4 Å³/atom
* space-group type: R-3m (166)
* formation enthalpy at 0 K: -337 meV per atom

Cell: 4.419 4.419 9.972 Å, 77.20 77.20 60.00°
Site moments in Bohr magnetons follow the coordinates.
Fractional coordinates of all 8 atoms:
Pu1 0.000 0.000 0.000  5.22
Al1 0.752 0.752 0.745  -0.01
Al2 0.248 0.248 0.255  -0.01
Cd1 0.500 0.500 0.500  0.00
Au1 0.394 0.394 0.818  0.00
Au2 0.883 0.883 0.352  0.00
Au3 0.117 0.117 0.648  0.00
Au4 0.606 0.606 0.182  0.00

=====

3.
Compound: TaTeIN2
Source: Alexandria via LeMat-Bulk
Functional: PBE
Structure: optimized geometry

Calculated values
* energy above the most stable polymorph in this dataset: 0.211 eV/atom
* calculated volume: 20.9 Å³/atom
* space-group type: P4/mmm (123)
* energy relative to the elements, uncorrected: 62.4 kJ/mol of atoms

Cell: 4.153 4.153 6.065 Å, 90.00 90.00 90.00°
Site moments in Bohr magnetons follow the coordinates.
Fractional coordinates of all 5 atoms:
I1 0.000 0.000 0.500  0.01
N1 0.000 0.500 0.000  0.34
N2 0.500 0.000 0.000  0.34
Te1 0.500 0.500 0.500  0.06
Ta1 0.000 0.000 0.000  -0.14

=====

4.
Compound: NaNbGeRu2
Source: Alexandria via LeMat-Bulk
Functional: PBE
Structure: optimized geometry

Calculated values
* energy above the most stable polymorph in this dataset: 0.725 eV/atom
* calculated volume: 17.7 Å³/atom
* space-group type: P4/mmm (123)
* formation enthalpy at 0 K: 1802 meV per atom

Cell: 4.495 4.378 4.495 Å, 90.00 90.00 90.00°
Fractional coordinates of all 5 atoms:
Ru1 0.000 0.000 0.500
Ru2 0.500 0.000 0.000
Nb1 0.500 0.500 0.500
Ge1 0.000 0.500 0.000
Na1 0.000 0.000 0.000

=====

5.
Compound: KTiHg2Br8
Source: Alexandria via LeMat-Bulk
Functional: PBE
Structure: optimized geometry

Calculated values
* calculated volume: 36.2 Å³/atom
* space-group type: P-1 (2)
* energy relative to the elements, uncorrected: -86.7 kJ/mol of atoms

Cell: 7.009 7.426 9.185 Å, 66.59 89.64 97.38°
Site moments in Bohr magnetons follow the coordinates.
Fractional coordinates of all 12 atoms:
K1 0.000 0.000 0.500  0.00
Ti1 0.000 0.000 0.000  0.80
Hg1 0.526 0.293 0.714  0.03
Hg2 0.474 0.707 0.286  0.03
Br1 0.087 0.738 0.277  -0.01
Br2 0.666 0.777 0.020  0.00
Br3 0.858 0.185 0.136  -0.02
Br4 0.913 0.262 0.723  -0.01
Br5 0.334 0.223 0.980  0.00
Br6 0.142 0.815 0.864  -0.02
Br7 0.558 0.727 0.561  0.02
Br8 0.442 0.273 0.439  0.02

=====

6.
Compound: MnFe2OsSe
Source: Alexandria via LeMat-Bulk
Functional: PBE
Structure: optimized geometry

Calculated values
* calculated volume: 15.4 Å³/atom
* space-group type: P4/mmm (123)
* energy relative to the elements, uncorrected: 136.1 kJ/mol of atoms

Cell: 4.216 4.326 4.216 Å, 90.00 90.00 90.00°
Site moments in Bohr magnetons follow the coordinates.
Fractional coordinates of all 5 atoms:
Mn1 0.000 0.000 0.000  -0.40
Os1 0.500 0.500 0.500  0.46
Fe1 0.000 0.000 0.500  2.30
Fe2 0.500 0.000 0.000  2.20
Se1 0.000 0.500 0.000  0.06